Material: RbNb2PdCl
Method: DFT, PBE
State: optimized geometry

Unit cell a=4.6067 b=4.6067 c=5.7340 alpha=90.00 beta=90.00 gamma=90.00
Closest atoms and distances in Å follow each position.
Fractional coordinates of all 5 atoms:
Rb 0.0000 0.0000 0.0000  2 Cl 2.87
Nb 0.0000 0.5000 0.5000  2 Cl 2.30
Nb 0.5000 0.0000 0.5000  2 Cl 2.30
Pd 0.5000 0.5000 0.0000  4 Rb 3.26
Cl 0.0000 0.0000 0.5000  4 Nb 2.30

Results
Space-group type   P4/mmm
Total DFT energy (no corrections)   -4.69 eV per atom
M_tot   0.82 μB/f.u.
N(E_F)   5.321 states/eV per cell

---

Material: ThS4Cl4
Method: DFT, PBE
State: optimized geometry

Unit cell a=4.2166 b=9.0026 c=9.2861 alpha=93.41 beta=102.49 gamma=90.79
Closest atoms and distances in Å follow each position.
Fractional coordinates of all 9 atoms:
Th 0.0000 0.0000 0.0000  6 Cl 2.57-2.78
S 0.1855 0.4284 0.3691  1 S 1.89
S 0.2785 0.3749 0.5676  1 S 1.89
S 0.7215 0.6251 0.4324  1 S 1.89
S 0.8145 0.5716 0.6309  1 S 1.89
Cl 0.0236 0.7262 0.0660  1 Th 2.57
Cl 0.4051 0.9432 0.8042  2 Th 2.78
Cl 0.5949 0.0568 0.1958  2 Th 2.78
Cl 0.9764 0.2738 0.9340  1 Th 2.57

Results
Space-group type   P-1
Total DFT energy (no corrections)   -4.60 eV per atom
M_tot   0.00 μB/f.u.
N(E_F)   0.000 states/eV per cell

---

Material: NdPaIn6
Method: DFT, PBE
State: optimized geometry

Unit cell a=4.6780 b=4.6780 c=9.3504 alpha=90.00 beta=90.00 gamma=90.00
Closest atoms and distances in Å follow each position.
Fractional coordinates of all 8 atoms:
Nd 0.0000 0.0000 0.0000  12 In 3.31-3.33
Pa 0.0000 0.0000 0.5000  12 In 3.29-3.31
In 0.0000 0.5000 0.2533  8 In 3.29-3.33, 2 Pa 3.29, 2 Nd 3.33
In 0.0000 0.5000 0.7467  8 In 3.29-3.33, 2 Pa 3.29, 2 Nd 3.33
In 0.5000 0.0000 0.2533  8 In 3.29-3.33, 2 Pa 3.29, 2 Nd 3.33
In 0.5000 0.0000 0.7467  8 In 3.29-3.33, 2 Pa 3.29, 2 Nd 3.33
In 0.5000 0.5000 0.0000  4 Nd 3.31, 8 In 3.33
In 0.5000 0.5000 0.5000  8 In 3.29, 4 Pa 3.31

Results
Space-group type   P4/mmm
Total DFT energy (no corrections)   -4.14 eV per atom
M_tot   0.93 μB/f.u.
N(E_F)   6.770 states/eV per cell

---

Material: ZrTe2Rh
Method: DFT, PBE
State: optimized geometry

Unit cell a=3.6879 b=3.6191 c=6.8140 alpha=90.00 beta=102.10 gamma=90.00
Closest atoms and distances in Å follow each position.
Fractional coordinates of all 4 atoms:
Zr 0.0000 0.0000 0.0000  8 Te 3.00-3.14
Te 0.3718 0.5000 0.7505  2 Rh 2.66
Te 0.6282 0.5000 0.2495  2 Rh 2.66
Rh 0.0000 0.0000 0.5000  4 Te 2.66

Results
Space-group type   P2/m
M_tot   0.00 μB/f.u.
N(E_F)   3.585 states/eV per cell
Distance to the lowest polymorph of the same formula   346 meV/atom

---

Material: NaLi2TaSe4
Method: DFT, PBE
State: optimized geometry

Unit cell a=7.0276 b=7.0276 c=7.0276 alpha=125.71 beta=125.71 gamma=80.37
Closest atoms and distances in Å follow each position.
Fractional coordinates of all 8 atoms:
Na 0.0000 0.0000 0.0000  4 Se 2.93
Li 0.2500 0.7500 0.5000  4 Se 2.62
Li 0.7500 0.2500 0.5000  4 Se 2.62
Ta 0.5000 0.5000 0.0000  4 Se 2.42
Se 0.1522 0.5859 0.0000  1 Ta 2.42, 2 Li 2.62
Se 0.4141 0.4141 0.5663  1 Ta 2.42, 2 Li 2.62
Se 0.5859 0.1522 0.0000  1 Ta 2.42, 2 Li 2.62
Se 0.8478 0.8478 0.4337  1 Ta 2.42, 2 Li 2.62

Results
Space-group type   I-42m
Total DFT energy (no corrections)   -4.87 eV per atom
M_tot   0.00 μB/f.u.
N(E_F)   0.000 states/eV per cell

---

Material: Sc5CdRu4
Method: DFT, PBE
State: optimized geometry

Unit cell a=3.2421 b=3.2421 c=16.8726 alpha=90.00 beta=90.00 gamma=90.00
Closest atoms and distances in Å follow each position.
Fractional coordinates of all 10 atoms:
Sc 0.0000 0.0000 0.0000  8 Ru 2.80
Sc 0.0000 0.0000 0.1868  8 Ru 2.76-2.85
Sc 0.0000 0.0000 0.3729  4 Ru 2.71
Sc 0.0000 0.0000 0.6271  4 Ru 2.71
Sc 0.0000 0.0000 0.8132  8 Ru 2.76-2.85
Cd 0.5000 0.5000 0.5000  8 Sc 3.14, 4 Cd 3.24
Ru 0.5000 0.5000 0.0955  8 Sc 2.76-2.80
Ru 0.5000 0.5000 0.2876  8 Sc 2.71-2.85
Ru 0.5000 0.5000 0.7124  8 Sc 2.71-2.85
Ru 0.5000 0.5000 0.9045  8 Sc 2.76-2.80

Results
Space-group type   P4/mmm
Total DFT energy (no corrections)   -7.51 eV per atom
M_tot   0.00 μB/f.u.
N(E_F)   8.404 states/eV per cell

---

Material: MnSbP2
Method: DFT, PBE
State: optimized geometry

Unit cell a=5.8040 b=5.8040 c=5.8040 alpha=141.74 beta=141.74 gamma=55.22
Closest atoms and distances in Å follow each position.
Fractional coordinates of all 4 atoms:
Mn 0.0000 0.0000 0.0000  4 P 2.69
Sb 0.7500 0.2500 0.5000  4 P 2.69
P 0.2500 0.7500 0.5000  4 Sb 2.69
P 0.5000 0.5000 0.0000  4 Mn 2.69

Results
Space-group type   I-4m2
Total DFT energy (no corrections)   -5.56 eV per atom
M_tot   4.05 μB/f.u.
N(E_F)   2.172 states/eV per cell

---

Material: MgHgSe
Method: DFT, PBE
State: optimized geometry

Unit cell a=6.6687 b=6.6687 c=7.4694 alpha=116.78 beta=116.78 gamma=33.96
Closest atoms and distances in Å follow each position.
Fractional coordinates of all 6 atoms:
Mg 0.1488 0.1488 0.3366  3 Se 2.60-2.62
Mg 0.8512 0.8512 0.6634  3 Se 2.60-2.62
Hg 0.4449 0.4449 0.2357  2 Mg 3.05, 2 Se 3.15
Hg 0.5551 0.5551 0.7643  2 Mg 3.05, 2 Se 3.15
Se 0.2401 0.2401 0.7323  3 Mg 2.60-2.62
Se 0.7599 0.7599 0.2677  3 Mg 2.60-2.62

Results
Space-group type   C2/m
M_tot   0.00 μB/f.u.
Distance to the lowest polymorph of the same formula   65 meV/atom

---

no.,volume (Å³ per atom)
1,24.3
2,38.2
3,25.6
4,22.2
5,27.6
6,17.7
7,18.6
8,27.3